Density functional theory data (GGA-PBE) for a relaxed structure of KMgCdSb2.

Unit cell a=4.744 b=4.744 c=7.649 alpha=108.06 beta=108.06 gamma=90.00
Fractional positions:
K 0.000 0.000 0.000
Mg 0.250 0.750 0.500
Cd 0.750 0.250 0.500
Sb 0.623 0.623 0.246
Sb 0.377 0.377 0.754

**SG**: I-4m2
**Energy relative to the elements, uncorrected**: -0.344 eV/atom
**Crystal system**: tetragonal

***

Density functional theory data (GGA-PBE) for a relaxed structure of La2Pr2Ga4Cu.

Unit cell a=6.740 b=6.740 c=6.740 alpha=97.75 beta=115.63 gamma=115.63
Fractional positions:
La 0.500 0.750 0.250
La 0.500 0.250 0.750
Pr 0.000 0.684 0.684
Pr 0.000 0.316 0.316
Ga 0.000 0.766 0.234
Ga 0.533 0.766 0.766
Ga 0.000 0.234 0.766
Ga 0.467 0.234 0.234
Cu 0.000 0.000 0.000

**ΔH_f (0 K)**: -0.38 eV per atom
**SG**: I4/mmm
**Crystal system**: tetragonal

***

Density functional theory data (GGA-PBE) for a relaxed structure of Ba5TlAg.

Unit cell a=8.243 b=8.243 c=12.946 alpha=71.50 beta=71.50 gamma=62.31
Fractional positions:
Ba 0.941 0.607 0.144
Ba 0.235 0.544 0.510
Ba 0.607 0.941 0.644
Ba 0.956 0.044 0.250
Ba 0.456 0.765 0.990
Ba 0.544 0.235 0.010
Ba 0.044 0.956 0.750
Ba 0.393 0.059 0.356
Ba 0.765 0.456 0.490
Ba 0.059 0.393 0.856
Tl 0.539 0.461 0.250
Tl 0.461 0.539 0.750
Ag 0.000 0.000 0.000
Ag 0.000 0.000 0.500

**ΔH_f (0 K)**: -0.11 eV per atom
**SG**: C2/c
**Crystal system**: monoclinic

***

Density functional theory data (GGA-PBE) for a relaxed structure of ZnNi4H8.

Unit cell a=5.144 b=5.144 c=5.898 alpha=130.65 beta=77.51 gamma=120.07
Fractional positions:
Zn 0.000 0.500 0.500
Ni 0.250 0.250 0.000
Ni 0.750 0.750 0.000
Ni 0.243 0.714 0.957
Ni 0.757 0.286 0.043
H 0.594 0.062 0.191
H 0.129 0.597 0.191
H 0.614 0.591 0.205
H 0.122 0.056 0.178
H 0.878 0.944 0.822
H 0.386 0.409 0.795
H 0.871 0.403 0.809
H 0.406 0.938 0.809

**SG**: C2/m
**Crystal system**: monoclinic
**VASP energy**: -3.95 eV/atom

***

Density functional theory data (GGA-PBE) for a relaxed structure of Hf2AlF.

Unit cell a=5.156 b=5.156 c=7.369 alpha=69.52 beta=69.52 gamma=90.00
Fractional positions:
Hf 0.521 0.125 0.250
Hf 0.229 0.625 0.250
Hf 0.375 0.479 0.750
Hf 0.875 0.771 0.750
Al 0.000 0.000 0.000
Al 0.750 0.250 0.500
F 0.500 0.500 0.000
F 0.250 0.750 0.500

**SG**: I-42d
**Energy relative to the elements, uncorrected**: -0.194 eV/atom
**Crystal system**: tetragonal
**Excess energy over the best structure of this formula in the dataset**: 268 meV/atom

***

Density functional theory data (GGA-PBE) for a relaxed structure of Hf2PaRh.

Unit cell a=3.217 b=3.217 c=9.599 alpha=80.35 beta=80.35 gamma=60.00
Fractional positions:
Rh 0.000 0.000 0.000
Pa 0.500 0.500 0.500
Hf 0.262 0.262 0.215
Hf 0.738 0.738 0.785

**ΔH_f (0 K)**: -0.20 eV per atom
**SG**: R-3m
**Crystal system**: trigonal
**Excess energy over the best structure of this formula in the dataset**: 176 meV/atom

***

| no. | theoretical density (g/cm³) |
| --- | --- |
| 1 | 4.50 |
| 2 | 6.55 |
| 3 | 4.59 |
| 4 | 5.07 |
| 5 | 7.86 |
| 6 | 13.59 |